# LiLa2Sn2Rh5 | Alexandria via LeMat-Bulk | PBE | relaxed
# - theoretical density (Mg/m³) = 8.63
# - formation energy (eV/atom) = -0.4108
# - electronic total energy (eV/atom) = -6.064
# - DOS at the Fermi energy (states/eV/cell) = 7.84
data_LiLa2Sn2Rh5
_symmetry_space_group_name_H-M 'P 4/m b m'
_symmetry_Int_Tables_number 127
_symmetry_space_group_name_Hall '-P 4 2ab'
_cell_length_a 10.465
_cell_length_b 10.465
_cell_length_c 3.645
_cell_angle_alpha 90.00
_cell_angle_beta 90.00
_cell_angle_gamma 90.00
loop_
_atom_site_label
_atom_site_type_symbol
_atom_site_fract_x
_atom_site_fract_y
_atom_site_fract_z
_atom_site_occupancy
Li1 Li 0.000 0.000 0.000 1
La1 La 0.170 0.330 0.000 1
Sn1 Sn 0.130 0.630 0.000 1
Rh1 Rh 0.000 0.500 0.500 1
Rh2 Rh 0.055 0.799 0.500 1

# SrSc3P | Alexandria via LeMat-Bulk | PBE | relaxed
# - theoretical density (Mg/m³) = 3.13
# - formation energy (eV/atom) = 1.5180
# - electronic total energy (eV/atom) = -3.699
# - DOS at the Fermi energy (states/eV/cell) = 5.90
data_SrSc3P
_symmetry_space_group_name_H-M 'P m -3 m'
_symmetry_Int_Tables_number 221
_symmetry_space_group_name_Hall '-P 4 2 3'
_cell_length_a 5.126
_cell_length_b 5.126
_cell_length_c 5.126
_cell_angle_alpha 90.00
_cell_angle_beta 90.00
_cell_angle_gamma 90.00
loop_
_atom_site_label
_atom_site_type_symbol
_atom_site_fract_x
_atom_site_fract_y
_atom_site_fract_z
_atom_site_occupancy
Sr1 Sr 0.000 0.000 0.000 1
Sc1 Sc 0.000 0.000 0.500 1
P1 P 0.500 0.500 0.500 1

# Ta7C6 | Alexandria via LeMat-Bulk | PBE | relaxed
# - theoretical density (Mg/m³) = 11.52
# - formation energy (eV/atom) = 1.0537
# - electronic total energy (eV/atom) = -9.586
# - DOS at the Fermi energy (states/eV/cell) = 20.68
data_Ta7C6
_symmetry_space_group_name_H-M 'R -3 m'
_symmetry_Int_Tables_number 166
_symmetry_space_group_name_Hall '-R 3 2"'
_cell_length_a 5.5629
_cell_length_b 5.5629
_cell_length_c 21.5956
_cell_angle_alpha 90.00
_cell_angle_beta 90.00
_cell_angle_gamma 120.00
loop_
_atom_site_label
_atom_site_type_symbol
_atom_site_fract_x
_atom_site_fract_y
_atom_site_fract_z
_atom_site_occupancy
Ta1 Ta 0.0000 0.0000 0.0000 1
Ta2 Ta 0.0055 0.5028 0.4289 1
C1 C 0.0000 0.0000 0.1667 1
C2 C 0.0000 0.0000 0.3183 1
C3 C 0.0000 0.0000 0.3857 1